Record 1
# CsTmMgF6

A geometry-optimized CsTmMgF6 structure (GGA-PBE, the Alexandria database).

a = 7.743 Å, b = 7.743 Å, c = 7.743 Å
α = 121.22°, β = 117.81°, γ = 90.86°
Sites, in units of the cell vectors:
Cs: 0.331 0.081 0.250
Cs: 0.669 0.919 0.750
Tm: 0.000 0.500 0.500
Tm: 0.500 0.500 0.000
Mg: 0.000 0.000 0.500
Mg: 0.000 0.500 0.000
F: 0.047 0.797 0.250
F: 0.050 0.412 0.221
F: 0.050 0.829 0.638
F: 0.309 0.171 0.721
F: 0.309 0.588 0.138
F: 0.330 0.580 0.750
F: 0.670 0.420 0.250
F: 0.691 0.412 0.862
F: 0.691 0.829 0.279
F: 0.950 0.171 0.362
F: 0.950 0.588 0.779
F: 0.953 0.203 0.750

## Properties
The volume is 330 Å³ per cell. The calculation puts the total moment at 0.01 μB per atom. Its energy is -102.5 eV/cell.



Record 2
# Cs2TmMg3F12

A geometry-optimized Cs2TmMg3F12 structure (GGA-PBE, the Alexandria database).

a = 7.654 Å, b = 7.654 Å, c = 7.654 Å
α = 58.91°, β = 58.91°, γ = 58.91°
Sites, in units of the cell vectors:
Cs: 0.118 0.118 0.118
Cs: 0.882 0.882 0.882
Tm: 0.500 0.500 0.500
Mg: 0.000 0.500 0.500
Mg: 0.500 0.000 0.500
Mg: 0.500 0.500 0.000
F: 0.162 0.576 0.576
F: 0.189 0.189 0.571
F: 0.189 0.571 0.189
F: 0.424 0.424 0.838
F: 0.424 0.838 0.424
F: 0.429 0.811 0.811
F: 0.571 0.189 0.189
F: 0.576 0.162 0.576
F: 0.576 0.576 0.162
F: 0.811 0.429 0.811
F: 0.811 0.811 0.429
F: 0.838 0.424 0.424

## Properties
The volume is 309 Å³ per cell. The calculation puts the total moment at 0.07 μB per atom. Its energy is -93.3 eV/cell.



Record 3
# CsMg2UF8

A geometry-optimized CsMg2UF8 structure (GGA-PBE, the Alexandria database).

a = 8.632 Å, b = 8.632 Å, c = 8.632 Å
α = 38.95°, β = 38.95°, γ = 38.95°
Sites, in units of the cell vectors:
Cs: 0.000 0.000 0.000
Mg: 0.254 0.254 0.254
Mg: 0.746 0.746 0.746
U: 0.500 0.500 0.500
F: 0.091 0.758 0.485
F: 0.242 0.515 0.909
F: 0.331 0.331 0.331
F: 0.485 0.091 0.758
F: 0.515 0.909 0.242
F: 0.669 0.669 0.669
F: 0.758 0.485 0.091
F: 0.909 0.242 0.515

## Properties
The volume is 229 Å³ per cell. The calculation puts the total moment at 0.25 μB per atom. Its energy is -69.1 eV/cell.



Which of these has the highest volume? CsTmMgF6